The following is a DFT calculation (PBE) of an optimized crystal structure of LiZn2Ag5.

a = 5.5944 Å, b = 5.5944 Å, c = 5.5944 Å
α = 106.08°, β = 106.09°, γ = 116.48°
Last column: nearest neighbours and their distance in Å.
Positions (direct):
1 Zn 0.7776 0.2779 0.5000  8 Ag 2.80, 2 Zn 2.94
2 Zn 0.2776 0.7779 0.5000  8 Ag 2.80, 2 Zn 2.94
3 Ag 0.2780 0.2783 0.5004  2 Li 2.80, 4 Zn 2.80, 4 Ag 2.80-2.94
4 Ag 0.2783 0.7776 0.0000  2 Li 2.80, 4 Zn 2.80, 4 Ag 2.80-2.95
5 Ag 0.2776 0.2773 0.0000  8 Ag 2.80, 2 Li 2.94-2.95
6 Ag 0.7776 0.7779 0.4996  2 Li 2.80, 4 Zn 2.80, 4 Ag 2.80-2.94
7 Ag 0.7779 0.2781 0.0000  2 Li 2.80, 4 Zn 2.80, 4 Ag 2.80-2.95
8 Li 0.7783 0.7781 0.0000  10 Ag 2.80-2.95

Output
As for the magnetization: 0.00 Bohr magnetons per cell. Its space-group type is I4/mmm (139). Its formation energy from the elements is -8.3 kJ/mol of atoms.

The following is a DFT calculation (PBE) of an optimized crystal structure of Li3Zn2Ag.

a = 5.0828 Å, b = 5.0828 Å, c = 8.1535 Å
α = 90.00°, β = 90.00°, γ = 120.00°
Last column: nearest neighbours and their distance in Å.
Positions (direct):
1 Li 0.6546 0.8273 0.2510  4 Li 2.45-2.63, 2 Zn 2.54-2.55
2 Li 0.3454 0.1727 0.7490  4 Li 2.45-2.63, 2 Zn 2.54-2.55
3 Li 0.1727 0.8273 0.2510  4 Li 2.45-2.63, 2 Zn 2.54-2.55
4 Li 0.1727 0.3454 0.2510  4 Li 2.45-2.63, 2 Zn 2.54-2.55
5 Li 0.8273 0.6546 0.7490  4 Li 2.45-2.63, 2 Zn 2.54-2.55
6 Li 0.8273 0.1727 0.7490  4 Li 2.45-2.63, 2 Zn 2.54-2.55
7 Ag 0.3333 0.6667 0.9244  9 Li 2.92-3.01, 4 Zn 2.94-3.00, 3 Ag 3.18
8 Ag 0.6667 0.3333 0.0756  9 Li 2.92-3.01, 4 Zn 2.94-3.00, 3 Ag 3.18
9 Zn 0.3333 0.6667 0.5637  9 Li 2.92-2.96, 1 Ag 2.94, 6 Zn 2.98-3.11
10 Zn 0.6667 0.3333 0.4363  9 Li 2.92-2.96, 1 Ag 2.94, 6 Zn 2.98-3.11
11 Zn 0.0000 0.0000 0.5000  6 Li 2.54
12 Zn 0.0000 0.0000 0.0000  6 Li 2.55

Output
As for the magnetization: 0.00 Bohr magnetons per cell. Its space-group type is P-3m1 (164). Its formation energy from the elements is -5.8 kJ/mol of atoms.

The following is a DFT calculation (PBE) of an optimized crystal structure of Li6Zn5Ag.

a = 3.9395 Å, b = 7.3280 Å, c = 7.3280 Å
α = 104.75°, β = 105.50°, γ = 105.50°
Last column: nearest neighbours and their distance in Å.
Positions (direct):
1 Zn 0.5000 0.8307 0.1693  2 Zn 2.74, 8 Li 2.77-2.82, 2 Ag 2.78
2 Zn 0.0000 0.3334 0.6666  4 Zn 2.74-2.76, 8 Li 2.79-2.82
3 Zn 0.5000 0.5000 0.5000  4 Zn 2.76, 8 Li 2.79-2.82
4 Zn 0.0000 0.6666 0.3334  4 Zn 2.74-2.76, 8 Li 2.79-2.82
5 Zn 0.5000 0.1693 0.8307  2 Zn 2.74, 8 Li 2.77-2.82, 2 Ag 2.78
6 Li 0.7503 0.2502 0.2502  4 Li 2.76, 6 Zn 2.79-2.82, 2 Ag 2.81-2.82
7 Li 0.2497 0.7498 0.7498  4 Li 2.76, 6 Zn 2.79-2.82, 2 Ag 2.81-2.82
8 Li 0.7501 0.5837 0.9168  4 Li 2.76, 7 Zn 2.77-2.82, 1 Ag 2.79
9 Li 0.7501 0.9168 0.5837  4 Li 2.76, 7 Zn 2.77-2.82, 1 Ag 2.79
10 Li 0.2499 0.4163 0.0832  4 Li 2.76, 7 Zn 2.77-2.82, 1 Ag 2.79
11 Li 0.2499 0.0832 0.4163  4 Li 2.76, 7 Zn 2.77-2.82, 1 Ag 2.79
12 Ag 0.0000 0.0000 0.0000  4 Zn 2.78, 8 Li 2.79-2.82

Output
As for the magnetization: 0.00 Bohr magnetons per cell. Its space-group type is C2/m (12). Its formation energy from the elements is -15.7 kJ/mol of atoms.

The following is a DFT calculation (PBE) of an optimized crystal structure of LiZnAg5.

a = 7.3353 Å, b = 5.3669 Å, c = 5.7582 Å
α = 117.78°, β = 129.56°, γ = 90.00°
Last column: nearest neighbours and their distance in Å.
Positions (direct):
1 Li 0.7612 0.5000 0.0000  3 Ag 2.46-2.58
2 Ag 0.0965 0.5000 0.0000  1 Li 2.46, 2 Zn 2.69, 2 Ag 2.70
3 Ag 0.9941 0.1868 0.3736  4 Ag 2.64-2.85, 1 Zn 2.71
4 Ag 0.6205 0.8132 0.6264  4 Ag 2.64-2.85, 1 Zn 2.71
5 Ag 0.4643 0.7567 0.0000  1 Li 2.58, 4 Ag 2.61-2.85, 1 Zn 2.78
6 Ag 0.4643 0.2433 0.0000  1 Li 2.58, 4 Ag 2.61-2.85, 1 Zn 2.78
7 Zn 0.1298 0.0000 0.0000  6 Ag 2.69-2.78

Output
As for the magnetization: 0.00 Bohr magnetons per cell. Its space-group type is Imm2 (44). Its formation energy from the elements is 15.7 kJ/mol of atoms.

The following is a DFT calculation (PBE) of an optimized crystal structure of Li4ZnAg.

a = 4.6032 Å, b = 5.4588 Å, c = 7.9627 Å
α = 73.21°, β = 90.00°, γ = 90.00°
Last column: nearest neighbours and their distance in Å.
Positions (direct):
1 Li 0.2500 0.7326 0.4167  5 Li 2.68-2.73, 3 Zn 2.79-2.80, 1 Ag 2.98
2 Li 0.7500 0.4867 0.9153  5 Li 2.67-2.74, 1 Ag 2.81, 3 Zn 2.81-2.98
3 Li 0.2500 0.5133 0.0847  5 Li 2.67-2.74, 1 Ag 2.81, 3 Zn 2.81-2.98
4 Li 0.7500 0.7684 0.5794  5 Li 2.67-2.73, 3 Ag 2.79-2.82, 1 Zn 2.93
5 Li 0.2500 0.2316 0.4206  5 Li 2.67-2.73, 3 Ag 2.79-2.82, 1 Zn 2.93
6 Li 0.7500 0.9829 0.9200  5 Li 2.66-2.74, 1 Zn 2.80, 3 Ag 2.81-2.94
7 Li 0.7500 0.2674 0.5833  5 Li 2.68-2.73, 3 Zn 2.79-2.80, 1 Ag 2.98
8 Li 0.2500 0.0171 0.0800  5 Li 2.66-2.74, 1 Zn 2.80, 3 Ag 2.81-2.94
9 Zn 0.7501 0.6238 0.2519  2 Ag 2.72-2.74, 8 Li 2.79-2.98
10 Zn 0.2499 0.3762 0.7481  2 Ag 2.72-2.74, 8 Li 2.79-2.98
11 Ag 0.2500 0.8735 0.7519  2 Zn 2.72-2.74, 8 Li 2.79-2.98
12 Ag 0.7500 0.1265 0.2481  2 Zn 2.72-2.74, 8 Li 2.79-2.98

Output
As for the magnetization: 0.00 Bohr magnetons per cell. Its space-group type is P2_1/m (11). Its formation energy from the elements is -14.6 kJ/mol of atoms.

The following is a DFT calculation (PBE) of an optimized crystal structure of Li3ZnAg6.

a = 7.4785 Å, b = 7.4785 Å, c = 7.4785 Å
α = 107.02°, β = 107.02°, γ = 107.02°
Last column: nearest neighbours and their distance in Å.
Positions (direct):
1 Li 0.2054 0.4550 0.0945  8 Ag 2.72-2.98, 1 Zn 3.04
2 Li 0.4550 0.0945 0.2054  8 Ag 2.72-2.98, 1 Zn 3.04
3 Li 0.9055 0.7946 0.5450  8 Ag 2.72-2.98, 1 Zn 3.04
4 Li 0.5450 0.9055 0.7946  8 Ag 2.72-2.98, 1 Zn 3.04
5 Li 0.7946 0.5450 0.9055  8 Ag 2.72-2.98, 1 Zn 3.04
6 Li 0.0945 0.2054 0.4550  8 Ag 2.72-2.98, 1 Zn 3.04
7 Ag 0.8834 0.1612 0.7312  1 Zn 2.69, 4 Li 2.75-2.98, 5 Ag 2.77-2.94
8 Ag 0.1612 0.7312 0.8834  1 Zn 2.69, 4 Li 2.75-2.98, 5 Ag 2.77-2.94
9 Ag 0.8388 0.2688 0.1166  1 Zn 2.69, 4 Li 2.75-2.98, 5 Ag 2.77-2.94
10 Ag 0.7312 0.8834 0.1612  1 Zn 2.69, 4 Li 2.75-2.98, 5 Ag 2.77-2.94
11 Ag 0.1166 0.8388 0.2688  1 Zn 2.69, 4 Li 2.75-2.98, 5 Ag 2.77-2.94
12 Ag 0.1824 0.6063 0.4888  1 Zn 2.70, 4 Li 2.72-2.91, 6 Ag 2.77-2.94
13 Ag 0.4888 0.1824 0.6063  1 Zn 2.70, 4 Li 2.72-2.91, 6 Ag 2.77-2.94
14 Ag 0.2688 0.1166 0.8388  1 Zn 2.69, 4 Li 2.75-2.98, 5 Ag 2.77-2.94
15 Ag 0.5112 0.8176 0.3937  1 Zn 2.70, 4 Li 2.72-2.91, 6 Ag 2.77-2.94
16 Ag 0.8176 0.3937 0.5112  1 Zn 2.70, 4 Li 2.72-2.91, 6 Ag 2.77-2.94
17 Ag 0.6063 0.4888 0.1824  1 Zn 2.70, 4 Li 2.72-2.91, 6 Ag 2.77-2.94
18 Ag 0.3937 0.5112 0.8176  1 Zn 2.70, 4 Li 2.72-2.91, 6 Ag 2.77-2.94
19 Zn 0.5000 0.5000 0.5000  6 Ag 2.70
20 Zn 0.0000 0.0000 0.0000  6 Ag 2.69

Output
As for the magnetization: 0.00 Bohr magnetons per cell. Its space-group type is R-3 (148). Its formation energy from the elements is -11.3 kJ/mol of atoms.

The following is a DFT calculation (PBE) of an optimized crystal structure of Li12ZnAg2.

a = 5.8136 Å, b = 5.8136 Å, c = 18.7152 Å
α = 90.00°, β = 90.00°, γ = 58.15°
Last column: nearest neighbours and their distance in Å.
Positions (direct):
1 Ag 0.5000 0.0000 0.2584  8 Li 2.70-3.00, 2 Ag 2.83
2 Ag 0.0000 0.5000 0.2584  8 Li 2.70-3.00, 2 Ag 2.83
3 Ag 0.0000 0.5000 0.7416  8 Li 2.70-3.00, 2 Ag 2.83
4 Ag 0.5000 0.0000 0.7416  8 Li 2.70-3.00, 2 Ag 2.83
5 Li 0.0000 0.0000 0.3598  5 Li 2.57-2.83
6 Li 0.2501 0.2499 0.1295  2 Ag 2.79-2.80, 2 Zn 2.81, 8 Li 2.82-3.10
7 Li 0.5000 0.5000 0.7816  3 Li 2.65-2.83
8 Li 0.3715 0.8715 0.5000  2 Li 2.47-2.61
9 Li 0.8715 0.3715 0.5000  2 Li 2.47-2.61
10 Li 0.5000 0.5000 0.3598  5 Li 2.57-2.83
11 Li 0.7500 0.2500 0.0720  3 Li 2.70-2.83, 2 Zn 2.88
12 Li 0.7499 0.7501 0.1295  2 Ag 2.79-2.80, 2 Zn 2.81, 8 Li 2.82-3.10
13 Li 0.0000 0.0000 0.7816  3 Li 2.65-2.83
14 Li 0.5000 0.5000 0.6402  5 Li 2.57-2.83
15 Li 0.0000 0.0000 0.6402  5 Li 2.57-2.83
16 Li 0.7500 0.2500 0.9280  3 Li 2.70-2.83, 2 Zn 2.88
17 Li 0.5000 0.5000 0.2184  3 Li 2.65-2.83
18 Li 0.1285 0.6285 0.5000  2 Li 2.47-2.61
19 Li 0.7501 0.7499 0.3811  4 Li 2.57-2.83, 2 Ag 2.70
20 Li 0.2499 0.2501 0.3811  4 Li 2.57-2.83, 2 Ag 2.70
21 Li 0.0000 0.0000 0.2184  3 Li 2.65-2.83
22 Li 0.6285 0.1285 0.5000  2 Li 2.47-2.61
23 Li 0.7499 0.7501 0.6189  4 Li 2.57-2.83, 2 Ag 2.70
24 Li 0.2499 0.2501 0.8705  2 Ag 2.79-2.80, 2 Zn 2.81, 8 Li 2.82-3.10
25 Li 0.2500 0.7500 0.0720  3 Li 2.70-2.83, 2 Zn 2.88
26 Li 0.2501 0.2499 0.6189  4 Li 2.57-2.83, 2 Ag 2.70
27 Li 0.7501 0.7499 0.8705  2 Ag 2.79-2.80, 2 Zn 2.81, 8 Li 2.82-3.10
28 Li 0.2500 0.7500 0.9280  3 Li 2.70-2.83, 2 Zn 2.88
29 Zn 0.5000 0.0000 0.0000  8 Li 2.81-2.88, 2 Zn 2.83
30 Zn 0.0000 0.5000 0.0000  8 Li 2.81-2.88, 2 Zn 2.83

Output
As for the magnetization: 0.00 Bohr magnetons per cell. Its space-group type is Pmmm (47). Its formation energy from the elements is -3.5 kJ/mol of atoms.

The following is a DFT calculation (PBE) of an optimized crystal structure of Li12Zn6Ag.

a = 6.7973 Å, b = 7.4606 Å, c = 7.4606 Å
α = 68.80°, β = 72.32°, γ = 107.68°
Last column: nearest neighbours and their distance in Å.
Positions (direct):
1 Li 0.2578 0.4225 0.6267  5 Zn 2.70-2.82, 6 Li 2.77-2.85, 1 Ag 2.85
2 Li 0.3170 0.1072 0.1614  4 Zn 2.72-2.90, 7 Li 2.77-2.88, 1 Ag 2.82
3 Li 0.5216 0.8386 0.2685  4 Zn 2.72-2.90, 7 Li 2.77-2.88, 1 Ag 2.82
4 Li 0.4784 0.1614 0.7315  4 Zn 2.72-2.90, 7 Li 2.77-2.88, 1 Ag 2.82
5 Li 0.2098 0.7315 0.1072  4 Zn 2.72-2.90, 7 Li 2.77-2.88, 1 Ag 2.82
6 Li 0.1647 0.0492 0.5775  5 Zn 2.70-2.82, 6 Li 2.77-2.85, 1 Ag 2.85
7 Li 0.7902 0.2685 0.8928  4 Zn 2.72-2.90, 7 Li 2.77-2.88, 1 Ag 2.82
8 Li 0.8845 0.6267 0.9508  5 Zn 2.70-2.82, 6 Li 2.77-2.85, 1 Ag 2.85
9 Li 0.6830 0.8928 0.8386  4 Zn 2.72-2.90, 7 Li 2.77-2.88, 1 Ag 2.82
10 Li 0.8353 0.9508 0.4225  5 Zn 2.70-2.82, 6 Li 2.77-2.85, 1 Ag 2.85
11 Li 0.7422 0.5775 0.3733  5 Zn 2.70-2.82, 6 Li 2.77-2.85, 1 Ag 2.85
12 Li 0.1155 0.3733 0.0492  5 Zn 2.70-2.82, 6 Li 2.77-2.85, 1 Ag 2.85
13 Zn 0.0339 0.6748 0.5399  9 Li 2.70-2.90, 3 Zn 2.72-2.82
14 Zn 0.5738 0.5399 0.7853  9 Li 2.70-2.90, 3 Zn 2.72-2.82
15 Zn 0.9661 0.3252 0.4601  9 Li 2.70-2.90, 3 Zn 2.72-2.82
16 Zn 0.3591 0.7853 0.6748  9 Li 2.70-2.90, 3 Zn 2.72-2.82
17 Zn 0.4262 0.4601 0.2147  9 Li 2.70-2.90, 3 Zn 2.72-2.82
18 Zn 0.6409 0.2147 0.3252  9 Li 2.70-2.90, 3 Zn 2.72-2.82
19 Ag 0.0000 0.0000 0.0000  12 Li 2.82-2.85

Output
As for the magnetization: 0.00 Bohr magnetons per cell. Its space-group type is R-3 (148). Its formation energy from the elements is -13.9 kJ/mol of atoms.

The following is a DFT calculation (PBE) of an optimized crystal structure of Li7Zn4Ag.

a = 4.7980 Å, b = 7.5726 Å, c = 6.6633 Å
α = 66.01°, β = 68.90°, γ = 71.53°
Last column: nearest neighbours and their distance in Å.
Positions (direct):
1 Li 0.7571 0.2758 0.2100  4 Zn 2.56-2.68, 1 Ag 2.71, 1 Li 2.77
2 Li 0.9212 0.4197 0.7379  5 Zn 2.63-2.87, 2 Li 2.77-2.80, 1 Ag 2.91
3 Li 0.1902 0.1267 0.4929  7 Li 2.87-3.10, 3 Zn 2.92-2.93, 1 Ag 2.98
4 Li 0.2429 0.7242 0.7900  4 Zn 2.56-2.68, 1 Ag 2.71, 1 Li 2.77
5 Li 0.8098 0.8733 0.5071  7 Li 2.87-3.10, 3 Zn 2.92-2.93, 1 Ag 2.98
6 Li 0.5000 0.0000 0.0000  2 Ag 2.40, 2 Zn 2.55
7 Li 0.0788 0.5803 0.2621  5 Zn 2.63-2.87, 2 Li 2.77-2.80, 1 Ag 2.91
8 Ag 0.0000 0.0000 0.0000  2 Li 2.40
9 Zn 0.3200 0.3532 0.0069  5 Li 2.55-2.68, 1 Zn 2.61
10 Zn 0.5423 0.3075 0.6078  4 Li 2.56-2.74, 2 Zn 2.61-2.64
11 Zn 0.6800 0.6468 0.9931  5 Li 2.55-2.68, 1 Zn 2.61
12 Zn 0.4577 0.6925 0.3922  4 Li 2.56-2.74, 2 Zn 2.61-2.64

Output
As for the magnetization: 0.00 Bohr magnetons per cell. Its space-group type is C2/m (12). Its formation energy from the elements is -5.4 kJ/mol of atoms.

The following is a DFT calculation (PBE) of an optimized crystal structure of LiZn6Ag5.

a = 7.7809 Å, b = 4.4456 Å, c = 7.0200 Å
α = 71.54°, β = 79.77°, γ = 55.87°
Last column: nearest neighbours and their distance in Å.
Positions (direct):
1 Li 0.0000 0.0000 0.0000  8 Zn 2.71-2.74
2 Zn 0.2446 0.2545 0.0000  6 Ag 2.70-2.78, 2 Li 2.71-2.74
3 Zn 0.2468 0.5891 0.3300  1 Li 2.71, 7 Ag 2.72-2.78
4 Zn 0.7532 0.0809 0.3300  1 Li 2.71, 7 Ag 2.72-2.78
5 Zn 0.2468 0.9191 0.6700  1 Li 2.71, 7 Ag 2.72-2.78
6 Zn 0.7532 0.4109 0.6700  1 Li 2.71, 7 Ag 2.72-2.78
7 Zn 0.7554 0.7455 0.0000  6 Ag 2.70-2.78, 2 Li 2.71-2.74
8 Ag 0.5000 0.1667 0.6666  8 Zn 2.74-2.78
9 Ag 0.0000 0.6642 0.6717  8 Zn 2.70-2.78
10 Ag 0.5000 0.8333 0.3334  8 Zn 2.74-2.78
11 Ag 0.0000 0.3358 0.3283  8 Zn 2.70-2.78
12 Ag 0.5000 0.5000 0.0000  8 Zn 2.74-2.78

Output
As for the magnetization: 0.00 Bohr magnetons per cell. Its space-group type is C2/m (12). Its formation energy from the elements is -6.9 kJ/mol of atoms.

Quick rundown of energy, same order as above: -2.425 -1.917 -1.888 -2.330 -2.115 -2.530 -2.033 -1.905 -1.835 -2.056 eV per atom